# 1
6
Lattice="-1.9606 2.1533 4.4491 -4.9280 -1.2082 1.5907 -0.7358 -3.0194 4.3147" Properties=species:S:1:pos:R:3 comment="CeIr4Au, optimized geometry, DFT PBE-GGA" formation_energy_mev_per_atom=-282.1 pbc="T T T"
Ir -4.3963 0.2110 4.3158
Ir -2.3040 -0.6930 5.6753
Ir -4.7635 -1.2959 6.4692
Ir -3.7850 -2.3706 4.2487
Au -1.9061 -0.5186 2.5886
Ce 0.0000 0.0000 0.0000

# 2
12
Lattice="-2.9655 3.9696 -4.9576 -3.9531 -2.8540 5.0357 3.2120 4.9768 3.7157" Properties=species:S:1:pos:R:3 comment="Tb2Ce3TmP6, optimized geometry, DFT PBE-GGA" formation_energy_mev_per_atom=-1555.7 pbc="T T T"
Tb -3.6237 -0.5780 1.7026
Tb -3.2949 1.6937 -1.6245
Ce -2.1819 0.7755 5.2224
Ce -1.5247 5.3170 -1.4287
Ce -1.8533 3.0463 1.8969
Tm 0.0000 0.0000 0.0000
P -2.6235 5.7183 1.2075
P -4.4088 2.0681 0.9764
P -1.0831 0.3742 2.5862
P -2.9499 3.4629 4.5108
P 0.7022 4.0244 2.8173
P -0.7567 2.6297 -0.7170

# 3
4
Lattice="-1.5700 -3.4013 -4.1331 0.9342 -5.4852 0.3949 -4.2707 -3.5100 0.7465" Properties=species:S:1:pos:R:3 comment="LiAcPrHg, optimized geometry, DFT PBE-GGA" formation_energy_mev_per_atom=-190.1 pbc="T T T"
Pr -1.2266 -3.0991 -0.7479
Ac -3.6799 -9.2973 -2.2438
Hg -2.4532 -6.1982 -1.4959
Li 0.0000 0.0000 0.0000

Computed electronic total energy (eV/atom) in order:
-7.72 -6.89 -2.97